## w
Computed, not measured: crystalline ZnRuCl3 at its relaxed geometry at the PBE level of DFT.

Crystal system = cubic
DOS(E_F) = 8.83 states/eV per cell

```
data_ZnRuCl3
_chemical_formula_sum 'Zn1 Ru1 Cl3'
_symmetry_space_group_name_H-M 'P m -3 m'
_symmetry_Int_Tables_number 221
_symmetry_space_group_name_Hall '-P 4 2 3'
_cell_length_a 4.8146
_cell_length_b 4.8146
_cell_length_c 4.8146
_cell_angle_alpha 90.00
_cell_angle_beta 90.00
_cell_angle_gamma 90.00
loop_
_atom_site_label
_atom_site_type_symbol
_atom_site_fract_x
_atom_site_fract_y
_atom_site_fract_z
Zn1 Zn 0.0000 0.0000 0.0000
Ru1 Ru 0.5000 0.5000 0.5000
Cl1 Cl 0.0000 0.5000 0.5000
```

---

## x
Computed, not measured: crystalline ZnRuCl3 at its relaxed geometry at the PBE level of DFT.

Crystal system = cubic
DOS(E_F) = 2.46 states/eV per cell

```
data_ZnRuCl3
_chemical_formula_sum 'Zn1 Ru1 Cl3'
_symmetry_space_group_name_H-M 'P m -3 m'
_symmetry_Int_Tables_number 221
_symmetry_space_group_name_Hall '-P 4 2 3'
_cell_length_a 4.8484
_cell_length_b 4.8484
_cell_length_c 4.8484
_cell_angle_alpha 90.00
_cell_angle_beta 90.00
_cell_angle_gamma 90.00
loop_
_atom_site_label
_atom_site_type_symbol
_atom_site_fract_x
_atom_site_fract_y
_atom_site_fract_z
Zn1 Zn 0.0000 0.0000 0.0000
Ru1 Ru 0.5000 0.5000 0.5000
Cl1 Cl 0.0000 0.0000 0.5000
```

---

Computed stability ranking, most favorable first: w, x

---

## w
Computed, not measured: crystalline Zn3RuCl at its relaxed geometry at the PBE level of DFT.

Crystal system = cubic
DOS(E_F) = 3.94 states/eV per cell

```
data_Zn3RuCl
_chemical_formula_sum 'Zn3 Ru1 Cl1'
_symmetry_space_group_name_H-M 'P m -3 m'
_symmetry_Int_Tables_number 221
_symmetry_space_group_name_Hall '-P 4 2 3'
_cell_length_a 4.5793
_cell_length_b 4.5793
_cell_length_c 4.5793
_cell_angle_alpha 90.00
_cell_angle_beta 90.00
_cell_angle_gamma 90.00
loop_
_atom_site_label
_atom_site_type_symbol
_atom_site_fract_x
_atom_site_fract_y
_atom_site_fract_z
Zn1 Zn 0.0000 0.0000 0.5000
Ru1 Ru 0.5000 0.5000 0.5000
Cl1 Cl 0.0000 0.0000 0.0000
```

---

## x
Computed, not measured: crystalline Zn3RuCl at its relaxed geometry at the PBE level of DFT.

Crystal system = cubic
DOS(E_F) = 6.75 states/eV per cell

```
data_Zn3RuCl
_chemical_formula_sum 'Zn3 Ru1 Cl1'
_symmetry_space_group_name_H-M 'P m -3 m'
_symmetry_Int_Tables_number 221
_symmetry_space_group_name_Hall '-P 4 2 3'
_cell_length_a 4.8853
_cell_length_b 4.8853
_cell_length_c 4.8853
_cell_angle_alpha 90.00
_cell_angle_beta 90.00
_cell_angle_gamma 90.00
loop_
_atom_site_label
_atom_site_type_symbol
_atom_site_fract_x
_atom_site_fract_y
_atom_site_fract_z
Zn1 Zn 0.0000 0.0000 0.5000
Ru1 Ru 0.0000 0.0000 0.0000
Cl1 Cl 0.5000 0.5000 0.5000
```

---

Computed stability ranking, most favorable first: x, w

---

## w
Computed, not measured: crystalline ZrRu2Cl at its relaxed geometry at the PBE level of DFT.

Crystal system = trigonal
DOS(E_F) = 13.52 states/eV per cell

```
data_ZrRu2Cl
_chemical_formula_sum 'Zr3 Ru6 Cl3'
_symmetry_space_group_name_H-M 'R 3 m'
_symmetry_Int_Tables_number 160
_symmetry_space_group_name_Hall 'R 3 -2"'
_cell_length_a 2.9631
_cell_length_b 2.9631
_cell_length_c 27.1688
_cell_angle_alpha 90.00
_cell_angle_beta 90.00
_cell_angle_gamma 120.00
loop_
_atom_site_label
_atom_site_type_symbol
_atom_site_fract_x
_atom_site_fract_y
_atom_site_fract_z
Zr1 Zr 0.0000 0.0000 0.0000
Ru1 Ru 0.0000 0.0000 0.2422
Ru2 Ru 0.0000 0.0000 0.5046
Cl1 Cl 0.0000 0.0000 0.7391
```

---

## x
Computed, not measured: crystalline ZrRu2Cl at its relaxed geometry at the PBE level of DFT.

Crystal system = tetragonal
DOS(E_F) = 3.44 states/eV per cell

```
data_ZrRu2Cl
_chemical_formula_sum 'Zr1 Ru2 Cl1'
_symmetry_space_group_name_H-M 'P 4/m m m'
_symmetry_Int_Tables_number 123
_symmetry_space_group_name_Hall '-P 4 2'
_cell_length_a 3.2284
_cell_length_b 3.2284
_cell_length_c 6.5200
_cell_angle_alpha 90.00
_cell_angle_beta 90.00
_cell_angle_gamma 90.00
loop_
_atom_site_label
_atom_site_type_symbol
_atom_site_fract_x
_atom_site_fract_y
_atom_site_fract_z
Zr1 Zr 0.0000 0.0000 0.0000
Ru1 Ru 0.5000 0.5000 0.2359
Cl1 Cl 0.0000 0.0000 0.5000
```

---

Computed stability ranking, most favorable first: w, x

---

## w
Computed, not measured: crystalline ZrRu2Cl at its relaxed geometry at the PBE level of DFT.

Crystal system = orthorhombic
DOS(E_F) = 2.75 states/eV per cell

```
data_ZrRu2Cl
_chemical_formula_sum 'Zr1 Ru2 Cl1'
_symmetry_space_group_name_H-M 'P m m 2'
_symmetry_Int_Tables_number 25
_symmetry_space_group_name_Hall 'P 2 -2'
_cell_length_a 3.0004
_cell_length_b 3.6255
_cell_length_c 7.6204
_cell_angle_alpha 90.00
_cell_angle_beta 90.00
_cell_angle_gamma 90.00
loop_
_atom_site_label
_atom_site_type_symbol
_atom_site_fract_x
_atom_site_fract_y
_atom_site_fract_z
Zr1 Zr 0.0000 0.0000 0.0000
Ru1 Ru 0.0000 0.0000 0.6552
Ru2 Ru 0.5000 0.5000 0.7709
Cl1 Cl 0.5000 0.5000 0.2132
```

---

## x
Computed, not measured: crystalline ZrRu2Cl at its relaxed geometry at the PBE level of DFT.

Crystal system = monoclinic
DOS(E_F) = 8.15 states/eV per cell

```
data_ZrRu2Cl
_chemical_formula_sum 'Zr2 Ru4 Cl2'
_symmetry_space_group_name_H-M 'C 1 2/m 1'
_symmetry_Int_Tables_number 12
_symmetry_space_group_name_Hall '-C 2y'
_cell_length_a 5.4455
_cell_length_b 9.1759
_cell_length_c 2.9791
_cell_angle_alpha 90.00
_cell_angle_beta 119.12
_cell_angle_gamma 90.00
loop_
_atom_site_label
_atom_site_type_symbol
_atom_site_fract_x
_atom_site_fract_y
_atom_site_fract_z
Zr1 Zr 0.0000 0.0000 0.0000
Ru1 Ru 0.2500 0.2500 0.5000
Cl1 Cl 0.0000 0.5000 0.0000
```

---

Computed stability ranking, most favorable first: w, x

---

## w
Computed, not measured: crystalline ZrRuCl2 at its relaxed geometry at the PBE level of DFT.

Crystal system = tetragonal
DOS(E_F) = 8.34 states/eV per cell

```
data_ZrRuCl2
_chemical_formula_sum 'Zr2 Ru2 Cl4'
_symmetry_space_group_name_H-M 'I 4/m m m'
_symmetry_Int_Tables_number 139
_symmetry_space_group_name_Hall '-I 4 2'
_cell_length_a 4.2271
_cell_length_b 4.2271
_cell_length_c 7.8712
_cell_angle_alpha 90.00
_cell_angle_beta 90.00
_cell_angle_gamma 90.00
loop_
_atom_site_label
_atom_site_type_symbol
_atom_site_fract_x
_atom_site_fract_y
_atom_site_fract_z
Zr1 Zr 0.0000 0.0000 0.0000
Ru1 Ru 0.0000 0.0000 0.5000
Cl1 Cl 0.0000 0.5000 0.2500
```

---

## x
Computed, not measured: crystalline ZrRuCl2 at its relaxed geometry at the PBE level of DFT.

Crystal system = orthorhombic
DOS(E_F) = 7.56 states/eV per cell

```
data_ZrRuCl2
_chemical_formula_sum 'Zr2 Ru2 Cl4'
_symmetry_space_group_name_H-M 'C m m m'
_symmetry_Int_Tables_number 65
_symmetry_space_group_name_Hall '-C 2 2'
_cell_length_a 3.0343
_cell_length_b 5.9176
_cell_length_c 8.6856
_cell_angle_alpha 90.00
_cell_angle_beta 90.00
_cell_angle_gamma 90.00
loop_
_atom_site_label
_atom_site_type_symbol
_atom_site_fract_x
_atom_site_fract_y
_atom_site_fract_z
Zr1 Zr 0.0000 0.0000 0.0000
Ru1 Ru 0.0000 0.0000 0.5000
Cl1 Cl 0.0000 0.5000 0.2467
```

---

## y
Computed, not measured: crystalline ZrRuCl2 at its relaxed geometry at the PBE level of DFT.

Crystal system = tetragonal
DOS(E_F) = 0.52 states/eV per cell

```
data_ZrRuCl2
_chemical_formula_sum 'Zr1 Ru1 Cl2'
_symmetry_space_group_name_H-M 'P 4 m m'
_symmetry_Int_Tables_number 99
_symmetry_space_group_name_Hall 'P 4 -2'
_cell_length_a 3.5584
_cell_length_b 3.5584
_cell_length_c 7.0347
_cell_angle_alpha 90.00
_cell_angle_beta 90.00
_cell_angle_gamma 90.00
loop_
_atom_site_label
_atom_site_type_symbol
_atom_site_fract_x
_atom_site_fract_y
_atom_site_fract_z
Zr1 Zr 0.0000 0.0000 0.0000
Ru1 Ru 0.5000 0.5000 0.8616
Cl1 Cl 0.0000 0.0000 0.6347
Cl2 Cl 0.5000 0.5000 0.2065
```

---

## z
Computed, not measured: crystalline ZrRuCl2 at its relaxed geometry at the PBE level of DFT.

Crystal system = trigonal
DOS(E_F) = 6.28 states/eV per cell

```
data_ZrRuCl2
_chemical_formula_sum 'Zr3 Ru3 Cl6'
_symmetry_space_group_name_H-M 'R 3 m'
_symmetry_Int_Tables_number 160
_symmetry_space_group_name_Hall 'R 3 -2"'
_cell_length_a 3.4141
_cell_length_b 3.4141
_cell_length_c 26.6064
_cell_angle_alpha 90.00
_cell_angle_beta 90.00
_cell_angle_gamma 120.00
loop_
_atom_site_label
_atom_site_type_symbol
_atom_site_fract_x
_atom_site_fract_y
_atom_site_fract_z
Zr1 Zr 0.0000 0.0000 0.0000
Ru1 Ru 0.0000 0.0000 0.7340
Cl1 Cl 0.0000 0.0000 0.2644
Cl2 Cl 0.0000 0.0000 0.4686
```

---

Computed stability ranking, most favorable first: z, y, x, w